# 1
LaYI5: optimized geometry, PBE-GGA.

a b c (Å): 4.315 9.297 14.895
angles (deg): 94.17 90.00 90.00
Last column: magnetic moment on the atom in μB.
Sites, in units of the cell vectors:
La 0.750 0.102 0.152  0.22
La 0.250 0.898 0.848  0.22
Y 0.250 0.413 0.344  0.21
Y 0.750 0.587 0.656  0.21
I 0.250 0.071 0.313  0.00
I 0.750 0.143 0.928  0.00
I 0.750 0.323 0.482  0.00
I 0.250 0.358 0.131  0.00
I 0.250 0.370 0.707  0.01
I 0.750 0.630 0.293  0.01
I 0.750 0.642 0.869  0.00
I 0.250 0.677 0.518  0.00
I 0.250 0.857 0.072  0.00
I 0.750 0.929 0.687  0.00

Values from the calculation:
SG: P2_1/m, No. 11
Uncorrected formation energy: -1.40 eV/atom
Crystal system: monoclinic
Volume: 42.6 Å³ per atom

# 2
BaCa4Rh: optimized geometry, PBE-GGA.

a b c (Å): 7.922 6.954 10.712
angles (deg): 71.06 58.98 90.00
Sites, in units of the cell vectors:
Ba 0.750 0.074 0.000
Ba 0.250 0.926 0.000
Ca 0.258 0.525 0.792
Ca 0.242 0.316 0.208
Ca 0.742 0.475 0.208
Ca 0.758 0.684 0.792
Ca 0.253 0.124 0.584
Ca 0.247 0.709 0.416
Ca 0.747 0.876 0.416
Ca 0.753 0.291 0.584
Rh 0.500 0.500 0.500
Rh 0.000 0.000 0.500

Values from the calculation:
Offset from the most stable computed form: 0.00 eV per formula unit
SG: C2/c, No. 15
Formation energy: -0.179 eV per atom
Crystal system: monoclinic
Volume: 39.0 Å³ per atom

# 3
Na2Sr3N: optimized geometry, PBE-GGA.

a b c (Å): 6.476 7.570 9.959
angles (deg): 100.54 108.97 90.00
Sites, in units of the cell vectors:
Na 0.709 0.606 0.418
Na 0.709 0.106 0.418
Na 0.291 0.894 0.582
Na 0.291 0.394 0.582
Sr 0.445 0.250 0.000
Sr 0.555 0.750 0.000
Sr 0.091 0.044 0.182
Sr 0.909 0.456 0.818
Sr 0.091 0.544 0.182
Sr 0.909 0.956 0.818
N 0.929 0.750 0.000
N 0.071 0.250 0.000

Values from the calculation:
Offset from the most stable computed form: 0.00 eV per formula unit
SG: C2/c, No. 15
Uncorrected formation energy: -0.22 eV/atom
Crystal system: monoclinic
Volume: 37.7 Å³ per atom

Calculated DFT total energy in order - -4.135, -3.059, -2.889 eV/atom